Record 1
40
Lattice="2.664 -4.578 0.000 2.664 4.578 0.000 -1.753 0.000 20.478" Properties=species:S:1:pos:R:3 comment="KMg3Si4O12, optimized geometry, DFT GGA-PBE" total_energy_ev_per_atom=-6.98 m_tot_mub_per_fu=1.0 space_group="C2/c (15)" e_form_raw_ev_per_fu=-52.62 pbc="T T T"
K 1.349 3.859 15.358
K 2.225 -3.859 5.119
Mg 0.455 2.289 10.239
Mg 1.317 0.755 0.001
Mg 0.440 -0.755 10.240
Mg 1.332 -2.289 0.000
Mg 3.134 0.755 10.238
Mg 2.258 -0.755 20.477
Si 2.244 2.239 2.766
Si 2.206 2.239 7.473
Si 1.382 0.810 13.005
Si 1.316 0.810 17.711
Si 2.258 -0.810 2.766
Si 2.192 -0.810 7.473
Si 1.368 -2.239 13.005
Si 1.330 -2.239 17.711
O 1.371 3.857 11.207
O 0.052 1.589 13.627
O -0.014 1.567 17.057
O 1.327 3.857 19.509
O 2.226 2.222 1.161
O 2.225 2.222 9.077
O 1.403 0.801 11.400
O 2.245 0.713 3.425
O 0.928 -1.589 3.388
O 0.862 -1.567 6.818
O 2.206 0.713 6.814
O 1.295 0.801 19.317
O 2.280 -0.801 1.161
O 1.368 -0.713 13.663
O 2.712 1.567 13.659
O 2.646 1.589 17.089
O 1.330 -0.713 17.053
O 2.171 -0.801 9.078
O 1.349 -2.222 11.400
O 1.349 -2.222 19.316
O 2.247 -3.857 0.968
O 3.589 -1.567 3.420
O 3.523 -1.589 6.850
O 2.204 -3.857 9.271

Record 2
6
Lattice="3.027 0.000 0.000 0.000 4.959 0.000 0.000 0.000 8.703" Properties=species:S:1:pos:R:3 comment="Ce4SiGe, optimized geometry, DFT GGA-PBE" total_energy_ev_per_atom=-5.92 m_tot_mub_per_fu=1.3 space_group="Pmmm (47)" e_form_raw_ev_per_fu=-1.73 dos_at_fermi_per_ev_atom=2.271 pbc="T T T"
Ce 0.000 0.000 1.435
Ce 0.000 0.000 7.268
Ce 0.000 2.479 2.858
Ce 0.000 2.479 5.845
Si 1.514 2.479 0.000
Ge 1.514 0.000 4.352

Record 3
10
Lattice="0.000 5.093 5.093 5.093 0.000 5.093 5.093 5.093 0.000" Properties=species:S:1:pos:R:3 comment="Li6Tl3Hg, optimized geometry, DFT GGA-PBE" total_energy_ev_per_atom=-1.84 m_tot_mub_per_fu=0.0 space_group="Fm-3m (225)" dos_at_fermi_per_ev_atom=0.518 formation_energy_ev_per_atom=0.047 polymorph_energy_mev_per_atom=301 pbc="T T T"
Li 5.093 5.093 2.521
Li 5.093 2.521 5.093
Li 7.665 5.093 5.093
Li 2.521 5.093 5.093
Li 5.093 7.665 5.093
Li 5.093 5.093 7.665
Tl 2.546 2.546 2.546
Tl 5.093 5.093 5.093
Tl 7.639 7.639 7.639
Hg 0.000 0.000 0.000